Pr2Dy3Tl4 | PBE | optimized geometry

Unit cell a=7.2000 b=9.1187 c=9.1507 alpha=90.00 beta=113.17 gamma=90.00
Closest atoms and distances in Å follow each position.
Fractional coordinates of all 18 atoms:
Pr1 0.1086 0.5779 0.2172  6 Tl 3.40-3.70, 2 Dy 3.78
Pr2 0.8914 0.4221 0.7828  6 Tl 3.40-3.70, 2 Dy 3.78
Pr3 0.3914 0.0779 0.7828  6 Tl 3.40-3.70, 2 Dy 3.78
Pr4 0.6086 0.9221 0.2172  6 Tl 3.40-3.70, 2 Dy 3.78
Dy1 0.0000 0.0000 0.0000  6 Tl 2.96-3.11
Dy2 0.5000 0.5000 0.0000  6 Tl 2.96-3.11
Dy3 0.5328 0.7500 0.5657  5 Tl 3.06-3.26
Dy4 0.9672 0.2500 0.4343  5 Tl 3.06-3.26
Dy5 0.4672 0.2500 0.4343  5 Tl 3.06-3.26
Dy6 0.0328 0.7500 0.5657  5 Tl 3.06-3.26
Tl1 0.7149 0.7500 0.9297  3 Dy 2.96-3.06
Tl2 0.7851 0.2500 0.0703  3 Dy 2.96-3.06
Tl3 0.2851 0.2500 0.0703  3 Dy 2.96-3.06
Tl4 0.2149 0.7500 0.9297  3 Dy 2.96-3.06
Tl5 0.1837 0.9581 0.3673  5 Dy 3.10-3.26
Tl6 0.8163 0.0419 0.6327  5 Dy 3.10-3.26
Tl7 0.3163 0.4581 0.6327  5 Dy 3.10-3.26
Tl8 0.6837 0.5419 0.3673  5 Dy 3.10-3.26

ΔH_f (0 K) = -0.254 eV per atom
energy above the most stable polymorph in this dataset = 36 kJ/mol of formula units
volume = 276.2 Å³/f.u.
magnetic moment = 0.000 μB per atom
space group = Cmce, No. 64

InSn2As2Pd7 | PBE | optimized geometry

Unit cell a=3.9743 b=3.9743 c=14.7810 alpha=86.08 beta=86.08 gamma=90.42
Closest atoms and distances in Å follow each position.
Fractional coordinates of all 12 atoms:
In1 0.0000 0.0000 0.0000  12 Pd 2.80-2.90
Sn1 0.8737 0.8737 0.4122  5 Pd 2.71-2.89
Sn2 0.1263 0.1263 0.5878  5 Pd 2.71-2.89
As1 0.5648 0.5648 0.7570  5 Pd 2.47-2.49
As2 0.4352 0.4352 0.2430  5 Pd 2.47-2.49
Pd1 0.5000 0.5000 0.0000  4 In 2.80-2.82, 8 Pd 2.89-2.90
Pd2 0.3904 0.3904 0.4122  1 As 2.49, 1 Sn 2.71
Pd3 0.6096 0.6096 0.5878  1 As 2.49, 1 Sn 2.71
Pd4 0.9606 0.4610 0.1433  2 As 2.47
Pd5 0.4610 0.9606 0.1433  2 As 2.47
Pd6 0.5390 0.0394 0.8567  2 As 2.47
Pd7 0.0394 0.5390 0.8567  2 As 2.47

ΔH_f (0 K) = -0.369 eV per atom
volume = 232.4 Å³/f.u.
magnetic moment = 0.000 μB per atom
space group = C2/m, No. 12

KCd3Te | PBE | optimized geometry

Unit cell a=6.3380 b=6.3380 c=6.3380 alpha=90.00 beta=90.00 gamma=90.00
Closest atoms and distances in Å follow each position.
Fractional coordinates of all 5 atoms:
K1 0.0000 0.0000 0.0000  6 Cd 3.17
Te1 0.5000 0.5000 0.5000  12 Cd 4.48
Cd1 0.0000 0.5000 0.0000  2 K 3.17
Cd2 0.0000 0.0000 0.5000  2 K 3.17
Cd3 0.5000 0.0000 0.0000  2 K 3.17

energy above the most stable polymorph in this dataset = 198 kJ/mol of formula units
volume = 254.6 Å³/f.u.
ΔE_f (raw) = 567 meV per atom
magnetic moment = 0.200 μB per atom
space group = Pm-3m, No. 221

Nd8Ni3CCl4 | PBE | optimized geometry

Unit cell a=7.9788 b=8.6513 c=7.9880 alpha=117.50 beta=119.96 gamma=90.00
Closest atoms and distances in Å follow each position.
Fractional coordinates of all 16 atoms:
Nd1 0.2254 0.6995 0.9747  1 C 2.63, 2 Ni 2.78
Nd2 0.2253 0.6992 0.4505  1 C 2.64, 2 Ni 2.77
Nd3 0.2650 0.2958 0.5301  3 Ni 2.74-2.75
Nd4 0.7494 0.6995 0.9747  1 C 2.63, 2 Ni 2.78
Nd5 0.2506 0.3005 0.0253  1 C 2.63, 2 Ni 2.78
Nd6 0.7350 0.7042 0.4699  3 Ni 2.74-2.75
Nd7 0.7747 0.3008 0.5495  1 C 2.64, 2 Ni 2.77
Nd8 0.7746 0.3005 0.0253  1 C 2.63, 2 Ni 2.78
Ni1 0.5000 0.5000 0.0000  6 Nd 2.75-2.78
Ni2 0.5000 0.5000 0.5000  6 Nd 2.74-2.78
Ni3 0.0000 0.5000 0.5000  6 Nd 2.74-2.78
C1 0.0000 0.5000 0.0000  6 Nd 2.63-2.64
Cl1 0.5000 0.0000 0.0000  6 Nd 3.27
Cl2 0.5000 0.0000 0.5000  6 Nd 3.15-3.16
Cl3 0.0000 0.0000 0.0000  6 Nd 3.15-3.16
Cl4 0.0000 0.0000 0.5000  6 Nd 3.15-3.16

volume = 404.2 Å³/f.u.
ΔE_f (raw) = -879 meV per atom
magnetic moment = 0.000 μB per atom
space group = C2/m, No. 12

NaZnGa2S4 | PBE | optimized geometry

Unit cell a=6.7931 b=6.7931 c=6.7931 alpha=129.16 beta=129.16 gamma=74.76
Closest atoms and distances in Å follow each position.
Fractional coordinates of all 8 atoms:
Na1 0.5000 0.5000 0.0000  4 S 2.69
Zn1 0.0000 0.0000 0.0000  4 S 2.37
Ga1 0.7500 0.2500 0.5000  4 S 2.41
Ga2 0.2500 0.7500 0.5000  4 S 2.41
S1 0.6381 0.6381 0.5469  1 Zn 2.37, 2 Ga 2.41
S2 0.9088 0.3619 0.0000  1 Zn 2.37, 2 Ga 2.41
S3 0.3619 0.9088 0.0000  1 Zn 2.37, 2 Ga 2.41
S4 0.0912 0.0912 0.4531  1 Zn 2.37, 2 Ga 2.41

volume = 183.6 Å³/f.u.
ΔE_f (raw) = -689 meV per atom
magnetic moment = 0.000 μB per atom
space group = I-42m, No. 121

Li12ErCd6 | PBE | optimized geometry

Unit cell a=7.3527 b=7.3527 c=7.3527 alpha=89.22 beta=89.22 gamma=89.22
Closest atoms and distances in Å follow each position.
Fractional coordinates of all 19 atoms:
Li1 0.8036 0.5241 0.4125  4 Cd 2.83-2.94, 4 Li 2.93-3.09
Li2 0.4125 0.8036 0.5241  4 Cd 2.83-2.94, 4 Li 2.93-3.09
Li3 0.5241 0.4125 0.8036  4 Cd 2.83-2.94, 4 Li 2.93-3.09
Li4 0.1964 0.4759 0.5875  4 Cd 2.83-2.94, 4 Li 2.93-3.09
Li5 0.5875 0.1964 0.4759  4 Cd 2.83-2.94, 4 Li 2.93-3.09
Li6 0.4759 0.5875 0.1964  4 Cd 2.83-2.94, 4 Li 2.93-3.09
Li7 0.0331 0.1689 0.3916  2 Cd 2.82-2.99, 3 Li 2.97-3.09
Li8 0.8311 0.6084 0.9669  2 Cd 2.82-2.99, 3 Li 2.97-3.09
Li9 0.6084 0.9669 0.8311  2 Cd 2.82-2.99, 3 Li 2.97-3.09
Li10 0.9669 0.8311 0.6084  2 Cd 2.82-2.99, 3 Li 2.97-3.09
Li11 0.1689 0.3916 0.0331  2 Cd 2.82-2.99, 3 Li 2.97-3.09
Li12 0.3916 0.0331 0.1689  2 Cd 2.82-2.99, 3 Li 2.97-3.09
Er1 0.0000 0.0000 0.0000  6 Cd 3.05, 6 Li 3.17
Cd1 0.7236 0.8822 0.2894  6 Li 2.82-2.99, 1 Er 3.05, 2 Cd 3.15
Cd2 0.7106 0.2764 0.1178  6 Li 2.82-2.99, 1 Er 3.05, 2 Cd 3.15
Cd3 0.1178 0.7106 0.2764  6 Li 2.82-2.99, 1 Er 3.05, 2 Cd 3.15
Cd4 0.2764 0.1178 0.7106  6 Li 2.82-2.99, 1 Er 3.05, 2 Cd 3.15
Cd5 0.2894 0.7236 0.8822  6 Li 2.82-2.99, 1 Er 3.05, 2 Cd 3.15
Cd6 0.8822 0.2894 0.7236  6 Li 2.82-2.99, 1 Er 3.05, 2 Cd 3.15

ΔH_f (0 K) = -0.119 eV per atom
volume = 397.4 Å³/f.u.
magnetic moment = 0.000 μB per atom
space group = R-3, No. 148

Ta5Nb | PBE | optimized geometry

Unit cell a=3.3169 b=4.6926 c=7.2209 alpha=90.00 beta=103.28 gamma=90.00
Closest atoms and distances in Å follow each position.
Fractional coordinates of all 6 atoms:
Ta1 0.3058 0.0000 0.6116  2 Nb 2.87, 6 Ta 2.87-2.88
Ta2 0.6386 0.0000 0.2772  2 Nb 2.87, 6 Ta 2.87-2.88
Ta3 0.4722 0.5000 0.9445  4 Nb 2.87, 4 Ta 2.88
Ta4 0.8049 0.5000 0.6098  8 Ta 2.86-2.88
Ta5 0.1396 0.5000 0.2791  8 Ta 2.86-2.88
Nb1 0.9722 0.0000 0.9444  8 Ta 2.87

ΔH_f (0 K) = -0.004 eV per atom
energy above the most stable polymorph in this dataset = 1 kJ/mol of formula units
volume = 109.4 Å³/f.u.
magnetic moment = 0.000 μB per atom
space group = Cmmm, No. 65

LaMnSi2 | PBE | optimized geometry

Unit cell a=9.0859 b=9.0859 c=4.0424 alpha=90.00 beta=90.00 gamma=153.59
Closest atoms and distances in Å follow each position.
Fractional coordinates of all 8 atoms:
La1 0.1030 0.8970 0.2500  10 Si 3.13-3.22, 4 Mn 3.29-3.33
La2 0.8970 0.1030 0.7500  10 Si 3.13-3.22, 4 Mn 3.29-3.33
Mn1 0.2497 0.7503 0.7500  4 Si 2.37-2.42
Mn2 0.7503 0.2497 0.2500  4 Si 2.37-2.42
Si1 0.3202 0.6798 0.2500  4 Mn 2.37-2.42, 1 Si 2.54
Si2 0.6798 0.3202 0.7500  4 Mn 2.37-2.42, 1 Si 2.54
Si3 0.5362 0.4638 0.7500  3 Si 2.39-2.54
Si4 0.4638 0.5362 0.2500  3 Si 2.39-2.54

volume = 74.2 Å³/f.u.
ΔE_f (raw) = -607 meV per atom
magnetic moment = 0.475 μB per atom
space group = Cmcm, No. 63

ZnCr2Tc | PBE | optimized geometry

Unit cell a=4.1785 b=2.5284 c=5.0189 alpha=78.42 beta=90.00 gamma=90.00
Closest atoms and distances in Å follow each position.
Fractional coordinates of all 4 atoms:
Cr1 0.0000 0.0339 0.9936  4 Cr 2.47-2.68, 2 Tc 2.57, 2 Zn 2.59
Cr2 0.0000 0.4661 0.5064  4 Cr 2.47-2.68, 2 Tc 2.57, 2 Zn 2.59
Tc1 0.5000 0.2500 0.2500  2 Tc 2.53, 4 Cr 2.57, 2 Zn 2.57
Zn1 0.5000 0.7500 0.7500  2 Zn 2.53, 2 Tc 2.57, 4 Cr 2.59

ΔH_f (0 K) = 0.193 eV per atom
volume = 51.9 Å³/f.u.
magnetic moment = 0.000 μB per atom
space group = P2/m, No. 10

Mn2VSb | PBE | optimized geometry

Unit cell a=3.9255 b=3.9255 c=9.4490 alpha=78.01 beta=78.01 gamma=90.00
Closest atoms and distances in Å follow each position.
Fractional coordinates of all 8 atoms:
Sb1 0.0000 0.0000 0.0000  4 Mn 2.66, 4 V 2.78
Sb2 0.7500 0.2500 0.5000  4 Mn 2.66, 4 V 2.78
Mn1 0.6192 0.1250 0.2500  2 V 2.64, 2 Sb 2.66, 4 Mn 2.74-2.81
Mn2 0.1308 0.6250 0.2500  2 V 2.64, 2 Sb 2.66, 4 Mn 2.74-2.81
Mn3 0.3750 0.3808 0.7500  2 V 2.64, 2 Sb 2.66, 4 Mn 2.74-2.81
Mn4 0.8750 0.8692 0.7500  2 V 2.64, 2 Sb 2.66, 4 Mn 2.74-2.81
V1 0.5000 0.5000 0.0000  4 Mn 2.64, 4 Sb 2.78
V2 0.2500 0.7500 0.5000  4 Mn 2.64, 4 Sb 2.78

volume = 69.6 Å³/f.u.
ΔE_f (raw) = 471 meV per atom
magnetic moment = 1.137 μB per atom
space group = I-42d, No. 122

Ti2ZnO | PBE | optimized geometry

Unit cell a=5.1941 b=5.1941 c=6.1932 alpha=65.21 beta=65.21 gamma=90.00
Closest atoms and distances in Å follow each position.
Fractional coordinates of all 8 atoms:
Zn1 0.0000 0.0000 0.0000  4 Ti 2.59
Zn2 0.7500 0.2500 0.5000  4 Ti 2.59
O1 0.5000 0.5000 0.0000  4 Ti 1.94
O2 0.2500 0.7500 0.5000  4 Ti 1.94
Ti1 0.5154 0.1250 0.2500  2 O 1.94
Ti2 0.2346 0.6250 0.2500  2 O 1.94
Ti3 0.3750 0.4846 0.7500  2 O 1.94
Ti4 0.8750 0.7654 0.7500  2 O 1.94

energy above the most stable polymorph in this dataset = 142 kJ/mol of formula units
volume = 67.3 Å³/f.u.
ΔE_f (raw) = -922 meV per atom
magnetic moment = 0.000 μB per atom
space group = I-42d, No. 122

AcPmHgI | PBE | optimized geometry

Unit cell a=5.6583 b=5.6583 c=5.6583 alpha=60.00 beta=60.00 gamma=60.00
Closest atoms and distances in Å follow each position.
Fractional coordinates of all 4 atoms:
I1 0.0000 0.0000 0.0000  4 Pm 3.46, 4 Ac 3.46
Ac1 0.7500 0.7500 0.7500  4 Hg 3.46, 4 I 3.46
Hg1 0.5000 0.5000 0.5000  4 Ac 3.46, 4 Pm 3.46
Pm1 0.2500 0.2500 0.2500  4 Hg 3.46, 4 I 3.46

volume = 128.1 Å³/f.u.
ΔE_f (raw) = -523 meV per atom
magnetic moment = 0.000 μB per atom
space group = F-43m, No. 216

The highest magnetic moment belongs to which entry? Mn2VSb

volume of number 2 (InSn2As2Pd7)? 232.4 Å³/f.u.

Number 7 is which compound? Ta5Nb